# PaNiPtO6 PBE+U optimized geometry
# total moment	0.112	μB/atom
# calculated total energy	-6.977	eV per atom
data_PaNiPtO6
_cell_length_a 5.3731
_cell_length_b 5.3731
_cell_length_c 8.8908
_cell_angle_alpha 90.00
_cell_angle_beta 90.00
_cell_angle_gamma 120.00
_space_group_name_H-M_alt 'P -3 1 c'
_space_group_IT_number 163
_space_group_name_Hall '-P 3 2c'
loop_
_atom_site_label
_atom_site_fract_x
_atom_site_fract_y
_atom_site_fract_z
Pa1 0.3333 0.6667 0.2500
Ni1 0.0000 0.0000 0.0000
Pt1 0.3333 0.6667 0.7500
O1 0.0215 0.3462 0.6251